Compound: Li2CuC
Source: the Alexandria database
Functional: PBE
Structure: optimized geometry

## Properties
Its energy relative to the lowest polymorph listed for this composition is 419 meV/atom. The calculated density is 3.9 g/cm3. For the energy of formation from the pure elements, the calculation gives 0.749 eV/atom. The value obtained for the total energy is -3.5381 eV/atom.

abc: 3.7661 3.7661 3.7661
angles: 60.00 60.00 60.00
With the nearest neighbours (Å) after each atom.
Element x y z (fractional)
C  0.0000  0.0000  0.0000  8 Li 2.31
Cu  0.5000  0.5000  0.5000  8 Li 2.31
Li  0.2500  0.2500  0.2500  4 Cu 2.31, 4 C 2.31
Li  0.7500  0.7500  0.7500  4 Cu 2.31, 4 C 2.31

Compound: LiCu3C
Source: the Alexandria database
Functional: PBE
Structure: optimized geometry

## Properties
Its energy relative to the lowest polymorph listed for this composition is 1619 meV/atom. The calculated density is 5.5 g/cm3. For the energy of formation from the pure elements, the calculation gives 1.785 eV/atom. The value obtained for the total energy is -2.9006 eV/atom.

abc: 3.9941 3.9941 3.9941
angles: 90.00 90.00 90.00
With the nearest neighbours (Å) after each atom.
Element x y z (fractional)
Li  0.0000  0.0000  0.0000  6 Cu 2.00
Cu  0.5000  0.0000  0.0000  2 Li 2.00
Cu  0.0000  0.0000  0.5000  2 Li 2.00
Cu  0.0000  0.5000  0.0000  2 Li 2.00
C  0.5000  0.5000  0.5000  12 Cu 2.82

Compound: LiCuC3
Source: the Alexandria database
Functional: PBE
Structure: optimized geometry

## Properties
Its energy relative to the lowest polymorph listed for this composition is 437 meV/atom. The calculated density is 3.7 g/cm3. For the energy of formation from the pure elements, the calculation gives 2.896 eV/atom. The value obtained for the total energy is -3.8399 eV/atom.

abc: 3.6243 3.6243 3.6243
angles: 90.00 90.00 90.00
With the nearest neighbours (Å) after each atom.
Element x y z (fractional)
C  0.0000  0.5000  0.0000  2 Li 1.81
C  0.0000  0.0000  0.5000  2 Li 1.81
C  0.5000  0.0000  0.0000  2 Li 1.81
Cu  0.5000  0.5000  0.5000  12 C 2.56
Li  0.0000  0.0000  0.0000  6 C 1.81

Compound: LiCuC3
Source: the Alexandria database
Functional: PBE
Structure: optimized geometry

## Properties
Its energy relative to the lowest polymorph listed for this composition is 0 meV/atom. The calculated density is 3.1 g/cm3. For the energy of formation from the pure elements, the calculation gives 2.459 eV/atom. The value obtained for the total energy is -4.2769 eV/atom.

abc: 3.8549 3.8549 3.8549
angles: 90.00 90.00 90.00
With the nearest neighbours (Å) after each atom.
Element x y z (fractional)
C  0.5000  0.0000  0.0000  2 Cu 1.93
C  0.0000  0.0000  0.5000  2 Cu 1.93
C  0.0000  0.5000  0.0000  2 Cu 1.93
Li  0.5000  0.5000  0.5000  12 C 2.73
Cu  0.0000  0.0000  0.0000  6 C 1.93

Compound: Na2LiCuPCO7
Source: the Alexandria database
Functional: PBE
Structure: optimized geometry

## Properties
The calculated density is 3.0 g/cm3. The calculation puts the uncorrected formation energy at -172.7 kJ/mol of atoms. The value obtained for the total energy is -6.2504 eV/atom.

abc: 6.6324 5.0804 8.9447
angles: 91.98 90.00 90.00
With the nearest neighbours (Å) after each atom.
Element x y z (fractional)
C  0.7500  0.2590  0.9573  3 O 1.29-1.31
C  0.2500  0.7410  0.0427  3 O 1.29-1.31
P  0.2500  0.3377  0.5849  4 O 1.53-1.57
P  0.7500  0.6623  0.4151  4 O 1.53-1.57
O  0.7500  0.3574  0.4394  1 P 1.57
O  0.5649  0.7254  0.3133  1 P 1.57
O  0.2500  0.8504  0.9138  1 C 1.30
O  0.7500  0.0967  0.8396  1 C 1.31
O  0.2500  0.1910  0.4326  1 P 1.53
O  0.9351  0.7254  0.3133  1 P 1.57
O  0.2500  0.4900  0.0562  1 C 1.29
O  0.0649  0.2746  0.6867  1 P 1.57
O  0.7500  0.5100  0.9438  1 C 1.29
O  0.2500  0.6426  0.5606  1 P 1.57
O  0.4351  0.2746  0.6867  1 P 1.57
O  0.7500  0.8090  0.5674  1 P 1.53
O  0.7500  0.1496  0.0862  1 C 1.30
O  0.2500  0.9033  0.1604  1 C 1.31
Li  0.7500  0.7647  0.1205  4 O 1.99-2.13
Li  0.2500  0.2353  0.8795  4 O 1.99-2.13
Cu  0.7500  0.2354  0.6408  4 O 1.93-2.14
Cu  0.2500  0.7646  0.3592  4 O 1.93-2.14
Na  0.9906  0.7618  0.7496  5 O 2.30-2.57
Na  0.4906  0.2382  0.2504  5 O 2.30-2.57
Na  0.5094  0.7618  0.7496  5 O 2.30-2.57
Na  0.0094  0.2382  0.2504  5 O 2.30-2.57

Compound: Na3LiCuPCO7
Source: the Alexandria database
Functional: PBE
Structure: optimized geometry

## Properties
The calculated density is 3.0 g/cm3. The calculation puts the uncorrected formation energy at -171.0 kJ/mol of atoms. The value obtained for the total energy is -6.0090 eV/atom.

abc: 6.3502 5.1080 10.0847
angles: 88.49 90.00 90.00
With the nearest neighbours (Å) after each atom.
Element x y z (fractional)
O  0.5539  0.7725  0.3292  1 P 1.58
O  0.7500  0.7580  0.5474  1 P 1.57
O  0.7500  0.3484  0.3968  1 P 1.53
O  0.9461  0.7725  0.3292  1 P 1.58
O  0.2500  0.9664  0.0995  1 C 1.30
O  0.7500  0.4771  0.8868  1 C 1.30
O  0.0539  0.2275  0.6708  1 P 1.58
O  0.2500  0.2420  0.4526  1 P 1.57
O  0.7500  0.0336  0.9005  1 C 1.30
O  0.2500  0.6516  0.6032  1 P 1.53
O  0.4461  0.2275  0.6708  1 P 1.58
O  0.2500  0.5229  0.1132  1 C 1.30
O  0.2500  0.7315  0.9142  1 C 1.31
O  0.7500  0.2685  0.0858  1 C 1.31
Na  0.4840  0.2258  0.2368  5 O 2.28-2.51
Na  0.7500  0.7495  0.0884  3 O 2.36-2.49
Na  0.2500  0.2505  0.9116  3 O 2.36-2.49
Na  0.0160  0.2258  0.2368  5 O 2.28-2.51
Na  0.9840  0.7742  0.7632  5 O 2.28-2.51
Na  0.5160  0.7742  0.7632  5 O 2.28-2.51
Li  0.5000  0.0000  0.5000  4 O 2.06-2.13
Li  0.0000  0.0000  0.5000  4 O 2.06-2.13
Cu  0.7500  0.2907  0.6713  2 O 1.96
Cu  0.2500  0.7093  0.3287  2 O 1.96
P  0.2500  0.3518  0.5962  4 O 1.53-1.58
P  0.7500  0.6482  0.4038  4 O 1.53-1.58
C  0.2500  0.7409  0.0437  3 O 1.30-1.31
C  0.7500  0.2591  0.9563  3 O 1.30-1.31

Compound: LiCuCO3
Source: the Alexandria database
Functional: PBE
Structure: optimized geometry

## Properties
Its energy relative to the lowest polymorph listed for this composition is 55 meV/atom. The calculated density is 3.6 g/cm3. The calculation puts the uncorrected formation energy at -123.9 kJ/mol of atoms. The value obtained for the total energy is -6.3025 eV/atom.

abc: 8.3124 8.3124 3.0153
angles: 90.00 90.00 120.00
With the nearest neighbours (Å) after each atom.
Element x y z (fractional)
O  0.4059  0.5599  0.0000  1 C 1.30
O  0.0874  0.9061  0.5000  1 C 1.31
O  0.1540  0.5941  0.0000  1 C 1.30
O  0.4896  0.2762  0.0000  1 C 1.30
O  0.8186  0.9126  0.5000  1 C 1.31
O  0.0939  0.1814  0.5000  1 C 1.31
O  0.7867  0.5104  0.0000  1 C 1.30
O  0.4401  0.8460  0.0000  1 C 1.30
O  0.7238  0.2133  0.0000  1 C 1.30
Li  0.6351  0.0046  0.5000  5 O 2.02-2.13
Li  0.9954  0.6305  0.5000  5 O 2.02-2.13
Li  0.3695  0.3649  0.5000  5 O 2.02-2.13
Cu  0.0002  0.3131  0.0000  4 O 2.02-2.22
Cu  0.3129  0.9998  0.0000  4 O 2.02-2.22
Cu  0.6869  0.6871  0.0000  4 O 2.02-2.22
C  0.3333  0.6667  0.0000  3 O 1.30
C  0.0000  0.0000  0.5000  3 O 1.31
C  0.6667  0.3333  0.0000  3 O 1.30

Compound: LiCu2C3O9
Source: the Alexandria database
Functional: PBE
Structure: optimized geometry

## Properties
The calculated density is 2.9 g/cm3. The calculation puts the uncorrected formation energy at -105.7 kJ/mol of atoms. The value obtained for the total energy is -6.5892 eV/atom.

abc: 7.9709 7.9504 7.6304
angles: 111.18 109.83 109.49
With the nearest neighbours (Å) after each atom.
Element x y z (fractional)
C  0.5753  0.3759  0.7852  3 O 1.28-1.32
C  0.3751  0.8012  0.5721  3 O 1.26-1.35
C  0.1686  0.2991  0.9923  3 O 1.27-1.31
C  0.2618  0.9625  0.1206  3 O 1.28-1.32
C  0.8104  0.5952  0.4049  3 O 1.28-1.30
C  0.9447  0.1487  0.2989  3 O 1.26-1.31
O  0.6974  0.3631  0.9406  1 C 1.32
O  0.4533  0.7143  0.6533  1 C 1.26
O  0.3984  0.9572  0.0693  1 C 1.28
O  0.1093  0.1074  0.8688  1 C 1.27
O  0.7127  0.3919  0.3108  1 C 1.29
O  0.3023  0.7588  0.3739  1 C 1.28
O  0.7545  0.6920  0.5266  1 C 1.28
O  0.3434  0.4333  0.1818  1 C 1.30
O  0.2910  0.1292  0.2819  1 C 1.32
O  0.9579  0.6947  0.3795  1 C 1.30
O  0.3682  0.9627  0.7050  1 C 1.35
O  0.8228  0.0704  0.0906  1 C 1.30
O  0.6564  0.4506  0.6921  1 C 1.28
O  0.0607  0.3440  0.4396  1 C 1.26
O  0.3862  0.3229  0.7384  1 C 1.30
O  0.0808  0.7989  0.0187  1 C 1.28
O  0.9341  0.0063  0.3491  1 C 1.31
O  0.0575  0.3774  0.9280  1 C 1.31
Li  0.8762  0.8828  0.8590  4 O 2.06-2.14
Li  0.2906  0.5347  0.7344  3 O 1.90-2.07
Cu  0.1542  0.0156  0.5599  4 O 1.89-2.05
Cu  0.4924  0.4131  0.4165  4 O 1.87-2.09
Cu  0.0125  0.5546  0.1362  4 O 1.93-2.06
Cu  0.5718  0.1554  0.0174  4 O 1.91-2.02

Compound: LiCu3C3O9
Source: the Alexandria database
Functional: PBE
Structure: optimized geometry

## Properties
The calculated density is 3.5 g/cm3. The calculation puts the uncorrected formation energy at -100.9 kJ/mol of atoms. The value obtained for the total energy is -6.4522 eV/atom.

abc: 6.1777 8.0425 8.1094
angles: 61.81 90.00 90.00
With the nearest neighbours (Å) after each atom.
Element x y z (fractional)
O  0.7429  0.5937  0.5516  1 C 1.31
O  0.0000  0.2295  0.2321  1 C 1.32
O  0.2300  0.8615  0.5739  1 C 1.28
O  0.5000  0.1484  0.9137  1 C 1.30
O  0.5000  0.2518  0.5421  1 C 1.28
O  0.0000  0.8943  0.9139  1 C 1.30
O  0.0000  0.2685  0.4898  1 C 1.25
O  0.5000  0.4961  0.2491  1 C 1.31
O  0.5000  0.9082  0.2040  1 C 1.32
O  0.0000  0.5208  0.2015  1 C 1.32
O  0.7700  0.8615  0.5739  1 C 1.28
O  0.5000  0.8496  0.9556  1 C 1.29
O  0.2510  0.5756  0.8320  1 C 1.29
O  0.0000  0.1936  0.8684  1 C 1.30
O  0.7490  0.5756  0.8320  1 C 1.29
O  0.0000  0.9445  0.1631  1 C 1.31
O  0.2571  0.5937  0.5516  1 C 1.31
O  0.5000  0.1990  0.2919  1 C 1.31
C  0.5000  0.9674  0.0221  3 O 1.29-1.32
C  0.0000  0.0122  0.9809  3 O 1.30-1.31
C  0.0000  0.3367  0.3152  3 O 1.25-1.32
C  0.7543  0.6815  0.6530  3 O 1.28-1.31
C  0.5000  0.3141  0.3647  3 O 1.28-1.31
C  0.2457  0.6815  0.6530  3 O 1.28-1.31
Cu  0.2496  0.6517  0.0309  3 O 1.98-2.09
Cu  0.2853  0.3271  0.7239  3 O 1.94-2.11
Cu  0.7147  0.3271  0.7239  3 O 1.94-2.11
Cu  0.7504  0.6517  0.0309  3 O 1.98-2.09
Cu  0.2425  0.0405  0.2817  5 O 2.03-2.17
Cu  0.7575  0.0405  0.2817  5 O 2.03-2.17
Li  0.5000  0.6412  0.3840  4 O 1.94
Li  0.0000  0.9899  0.6429  4 O 1.96-1.99

Compound: LiCu2C2O7
Source: the Alexandria database
Functional: PBE
Structure: optimized geometry

## Properties
The calculated density is 2.9 g/cm3. The calculation puts the uncorrected formation energy at -104.3 kJ/mol of atoms. The value obtained for the total energy is -6.3524 eV/atom.

abc: 4.7964 4.7987 15.4677
angles: 89.92 89.97 60.04
With the nearest neighbours (Å) after each atom.
Element x y z (fractional)
O  0.6133  0.0715  0.0853  1 C 1.30
O  0.3881  0.9264  0.9143  1 C 1.30
O  0.6116  0.3169  0.4142  1 C 1.30
O  0.9271  0.3879  0.5856  1 C 1.30
O  0.6846  0.9268  0.5855  1 C 1.30
O  0.0742  0.3138  0.0856  1 C 1.30
O  0.0725  0.6131  0.4143  1 C 1.30
O  0.3880  0.6841  0.5856  1 C 1.30
O  0.3171  0.6103  0.0857  1 C 1.30
O  0.6692  0.6691  0.2499  2 Cu 1.76
O  0.9273  0.6840  0.9141  1 C 1.30
O  0.3340  0.3300  0.7499  2 Cu 1.76
O  0.3148  0.0742  0.4141  1 C 1.30
O  0.6844  0.3875  0.9142  1 C 1.30
C  0.6666  0.6660  0.9137  3 O 1.30
C  0.6666  0.6663  0.5861  3 O 1.30
C  0.3349  0.3318  0.0861  3 O 1.30
C  0.3330  0.3347  0.4137  3 O 1.30
Li  0.0007  0.9990  0.9999  6 O 2.16-2.17
Li  0.9998  0.0004  0.4998  6 O 2.16-2.17
Cu  0.6687  0.6649  0.1360  1 O 1.76
Cu  0.3329  0.3327  0.8638  1 O 1.76
Cu  0.6660  0.6688  0.3638  1 O 1.76
Cu  0.3336  0.3323  0.6360  1 O 1.76